First-principles (PBE) data for a relaxed Er7Tl4In crystal, as listed in Alexandria.

Unit cell a=14.291 b=5.701 c=11.033 alpha=90.00 beta=126.93 gamma=90.00
Space group C2/m (No. 12)
Symmetry-distinct sites (fractional):
Er1 0.000 0.000 0.000 x2
Er2 0.071 0.500 0.325 x4
Er3 0.158 0.000 0.588 x4
Er4 0.213 0.500 0.875 x4
Tl1 0.068 0.000 0.775 x4
Tl2 0.211 0.000 0.338 x4
In1 0.000 0.500 0.000 x2

Calculated values
Crystal system = monoclinic
Total DFT energy (no corrections) = -3.727 eV/atom
E_form = -0.0483 eV per atom
DOS(E_F) = 1.04 states/eV per atom
ρ = 9.7 g/cm³
Total magnetization = 0.0 Bohr magnetons per cell